{
  "formula": "TaI2Cl8",
  "functional": "GGA-PBE",
  "state": "optimized geometry",
  "raw_formation_energy_ev_per_fu": -8.522,
  "n_ef_per_ev_fu": 2.4,
  "lattice": [[6.484, 1.498, 1.684], [2.007, 8.227, 1.807], [1.126, -0.801, 8.598]],
  "species": ["Ta", "I", "I", "Cl", "Cl", "Cl", "Cl", "Cl", "Cl", "Cl", "Cl"],
  "fractional_positions": [[0.000, 0.000, 0.000], [0.623, 0.623, 0.637], [0.377, 0.377, 0.363], [0.002, 0.960, 0.271], [0.020, 0.263, 0.995], [0.998, 0.040, 0.729], [0.174, 0.565, 0.600], [0.980, 0.737, 0.005], [0.427, 0.839, 0.908], [0.573, 0.161, 0.092], [0.826, 0.435, 0.400]]
}